(1)
Material: Tb4TmAu2
Method: DFT, GGA-PBE
State: relaxed

Cell lengths 5.0115, 5.0115, 10.1649 Å; angles 75.73, 75.73, 60.00 degrees
Closest atoms and distances in Å follow each position.
Atoms (fractional coordinates):
Tb: 0.7031 0.7031 0.8907  4 Au 2.99-3.02
Tb: 0.8949 0.8949 0.3153  3 Au 3.11, 3 Tm 3.41
Tb: 0.2969 0.2969 0.1093  4 Au 2.99-3.02
Tb: 0.1051 0.1051 0.6847  3 Au 3.11, 3 Tm 3.41
Tm: 0.5000 0.5000 0.5000  2 Au 2.94
Au: 0.6007 0.6007 0.1980  1 Tm 2.94, 7 Tb 2.99-3.11
Au: 0.3993 0.3993 0.8020  1 Tm 2.94, 7 Tb 2.99-3.11

## Properties
ρ ... 9.39 g/cm3
DFT formation energy ... -0.249 eV per atom


(2)
Material: Tb3TmAu2
Method: DFT, GGA-PBE
State: relaxed

Cell lengths 4.9827, 7.0733, 8.9816 Å; angles 90.00, 90.00, 90.00 degrees
Closest atoms and distances in Å follow each position.
Atoms (fractional coordinates):
Tb: 0.0000 0.4887 0.9262  3 Au 2.95-3.14
Tb: 0.0000 0.9887 0.0738  3 Au 2.95-3.14
Tb: 0.5000 0.6506 0.1688  4 Au 2.92-3.07
Tb: 0.5000 0.1506 0.8312  4 Au 2.92-3.07
Tb: 0.0000 0.3494 0.3332  4 Au 2.92-3.06
Tb: 0.0000 0.8494 0.6668  4 Au 2.92-3.06
Tm: 0.5000 0.5117 0.5729  3 Au 2.93-3.14
Tm: 0.5000 0.0117 0.4271  3 Au 2.93-3.14
Au: 0.5000 0.7385 0.8453  6 Tb 2.92-3.14, 1 Tm 2.93
Au: 0.5000 0.2385 0.1547  6 Tb 2.92-3.14, 1 Tm 2.93
Au: 0.0000 0.2611 0.6510  5 Tb 2.92-3.07, 2 Tm 3.14
Au: 0.0000 0.7611 0.3490  5 Tb 2.92-3.07, 2 Tm 3.14

## Properties
ρ ... 10.91 g/cm3
DFT formation energy ... -0.629 eV per atom